Te4MoRh after structural relaxation. Source: Alexandria, functional PBE.

Geometry as CIF:
```
data_Te4MoRh
_chemical_formula_sum 'Te16 Mo4 Rh4'
_space_group_name_H-M_alt 'F -4 3 m'
_space_group_IT_number 216
_space_group_name_Hall 'F -4 2 3'
_cell_length_a 8.6833
_cell_length_b 8.6833
_cell_length_c 8.6833
_cell_angle_alpha 90.00
_cell_angle_beta 90.00
_cell_angle_gamma 90.00
loop_
_atom_site_label
_atom_site_type_symbol
_atom_site_fract_x
_atom_site_fract_y
_atom_site_fract_z
Te1 Te 0.1252 0.1252 0.1252
Mo1 Mo 0.2500 0.2500 0.7500
Rh1 Rh 0.0000 0.0000 0.5000
```

Calculated values
Theoretical density, Mg/m³: 7.20
DFT total energy, Ry per atom: -0.2775
Formation energy without anion corrections, eV/atom: 1.349